An optimized crystal structure of Sr3Be2InO6. Source: Alexandria, functional PBE.

Calculated values
Formation energy (no corrections) ... -2.3095 eV/atom
Theoretical density ... 4463 kg/m³
Volume ... 182.97 Å³/cell
N(E_F) ... 0.09 states/eV per atom

CIF file:
```
data_Sr3Be2InO6
_symmetry_space_group_name_H-M 'P -3 m 1'
_symmetry_Int_Tables_number 164
_symmetry_space_group_name_Hall '-P 3 2"'
_cell_length_a 5.5690
_cell_length_b 5.5690
_cell_length_c 6.8122
_cell_angle_alpha 90.00
_cell_angle_beta 90.00
_cell_angle_gamma 120.00
loop_
_atom_site_label
_atom_site_type_symbol
_atom_site_fract_x
_atom_site_fract_y
_atom_site_fract_z
_atom_site_occupancy
Sr1 Sr 0.0000 0.0000 0.0000 1
Sr2 Sr 0.3333 0.6667 0.6862 1
Be1 Be 0.3333 0.6667 0.2638 1
In1 In 0.0000 0.0000 0.5000 1
O1 O 0.1740 0.3481 0.2921 1
```

=====

An optimized crystal structure of Sr2BeInO5. Source: Alexandria, functional PBE.

Calculated values
Formation energy (no corrections) ... -2.1442 eV/atom
Theoretical density ... 5066 kg/m³
Volume ... 497.00 Å³/cell
N(E_F) ... 0.78 states/eV per atom

CIF file:
```
data_Sr2BeInO5
_symmetry_space_group_name_H-M 'C m c 21'
_symmetry_Int_Tables_number 36
_symmetry_space_group_name_Hall 'C 2c -2'
_cell_length_a 3.3099
_cell_length_b 14.3939
_cell_length_c 10.4320
_cell_angle_alpha 90.00
_cell_angle_beta 90.00
_cell_angle_gamma 90.00
loop_
_atom_site_label
_atom_site_type_symbol
_atom_site_fract_x
_atom_site_fract_y
_atom_site_fract_z
_atom_site_occupancy
Sr1 Sr 0.0000 0.1149 0.0000 1
Sr2 Sr 0.0000 0.1284 0.6484 1
Be1 Be 0.0000 0.4420 0.7324 1
In1 In 0.0000 0.1964 0.3413 1
O1 O 0.0000 0.0410 0.2998 1
O2 O 0.0000 0.3012 0.9818 1
O3 O 0.0000 0.3282 0.7003 1
O4 O 0.0000 0.3439 0.3283 1
O5 O 0.0000 0.5000 0.1050 1
```

=====

An optimized crystal structure of Sr2Be2InO6. Source: Alexandria, functional PBE.

Calculated values
Formation energy (no corrections) ... -2.2476 eV/atom
Theoretical density ... 4635 kg/m³
Volume ... 434.29 Å³/cell
N(E_F) ... 0.65 states/eV per atom

CIF file:
```
data_Sr2Be2InO6
_symmetry_space_group_name_H-M 'R -3 m'
_symmetry_Int_Tables_number 166
_symmetry_space_group_name_Hall '-R 3 2"'
_cell_length_a 5.4830
_cell_length_b 5.4830
_cell_length_c 16.6809
_cell_angle_alpha 90.00
_cell_angle_beta 90.00
_cell_angle_gamma 120.00
loop_
_atom_site_label
_atom_site_type_symbol
_atom_site_fract_x
_atom_site_fract_y
_atom_site_fract_z
_atom_site_occupancy
Sr1 Sr 0.0000 0.0000 0.2117 1
Be1 Be 0.0000 0.0000 0.4184 1
In1 In 0.0000 0.0000 0.0000 1
O1 O 0.0101 0.5050 0.2471 1
```

=====

An optimized crystal structure of Be2InTeO6. Source: Alexandria, functional PBE.

Calculated values
Formation energy (no corrections) ... -1.6892 eV/atom
Theoretical density ... 5062 kg/m³
Volume ... 467.70 Å³/cell
N(E_F) ... 0.38 states/eV per atom

CIF file:
```
data_Be2InTeO6
_symmetry_space_group_name_H-M 'C 1 2/c 1'
_symmetry_Int_Tables_number 15
_symmetry_space_group_name_Hall '-C 2yc'
_cell_length_a 10.1902
_cell_length_b 8.8607
_cell_length_c 5.6886
_cell_angle_alpha 90.00
_cell_angle_beta 114.42
_cell_angle_gamma 90.00
loop_
_atom_site_label
_atom_site_type_symbol
_atom_site_fract_x
_atom_site_fract_y
_atom_site_fract_z
_atom_site_occupancy
Be1 Be 0.2044 0.0738 0.1801 1
In1 In 0.0000 0.4013 0.2500 1
Te1 Te 0.0000 0.2052 0.7500 1
O1 O 0.1063 0.2259 0.1380 1
O2 O 0.1202 0.4050 0.6745 1
O3 O 0.1568 0.0474 0.8508 1
```

=====

An optimized crystal structure of BeTl2InO4. Source: Alexandria, functional PBE.

Calculated values
Formation energy (no corrections) ... -0.9887 eV/atom
Theoretical density ... 6875 kg/m³
Volume ... 1152.73 Å³/cell
N(E_F) ... 0.72 states/eV per atom

CIF file:
```
data_BeTl2InO4
_symmetry_space_group_name_H-M 'F d d d'
_symmetry_Int_Tables_number 70
_cell_length_a 5.4246
_cell_length_b 11.3210
_cell_length_c 18.7705
_cell_angle_alpha 90.00
_cell_angle_beta 90.00
_cell_angle_gamma 90.00
loop_
_symmetry_equiv_pos_as_xyz
'x,y,z'
'-x,-y,-z'
'-x+1/4,-y+1/4,z'
'x+1/4,y+1/4,-z'
'x,-y+1/4,-z+1/4'
'-x,y+1/4,z+1/4'
'-x+1/4,y,-z+1/4'
'x+1/4,-y,z+1/4'
'x,y+1/2,z+1/2'
'-x,-y+1/2,-z+1/2'
'-x+1/4,-y+3/4,z+1/2'
'x+1/4,y+3/4,-z+1/2'
'x,-y+3/4,-z+3/4'
'-x,y+3/4,z+3/4'
'-x+1/4,y+1/2,-z+3/4'
'x+1/4,-y+1/2,z+3/4'
'x+1/2,y,z+1/2'
'-x+1/2,-y,-z+1/2'
'-x+3/4,-y+1/4,z+1/2'
'x+3/4,y+1/4,-z+1/2'
'x+1/2,-y+1/4,-z+3/4'
'-x+1/2,y+1/4,z+3/4'
'-x+3/4,y,-z+3/4'
'x+3/4,-y,z+3/4'
'x+1/2,y+1/2,z'
'-x+1/2,-y+1/2,-z'
'-x+3/4,-y+3/4,z'
'x+3/4,y+3/4,-z'
'x+1/2,-y+3/4,-z+1/4'
'-x+1/2,y+3/4,z+1/4'
'-x+3/4,y+1/2,-z+1/4'
'x+3/4,-y+1/2,z+1/4'
loop_
_atom_site_label
_atom_site_type_symbol
_atom_site_fract_x
_atom_site_fract_y
_atom_site_fract_z
_atom_site_occupancy
Be1 Be 0.1250 0.1250 0.1250 1
Tl1 Tl 0.1250 0.1250 0.4361 1
In1 In 0.1250 0.1250 0.6250 1
O1 O 0.0773 0.2747 0.3403 1
```

=====

An optimized crystal structure of Be2TlIn2O6. Source: Alexandria, functional PBE.

Calculated values
Formation energy (no corrections) ... -1.4682 eV/atom
Theoretical density ... 6055 kg/m³
Volume ... 150.31 Å³/cell
N(E_F) ... 0.28 states/eV per atom

CIF file:
```
data_Be2TlIn2O6
_symmetry_space_group_name_H-M 'P -3'
_symmetry_Int_Tables_number 147
_symmetry_space_group_name_Hall '-P 3'
_cell_length_a 5.4536
_cell_length_b 5.4536
_cell_length_c 5.8355
_cell_angle_alpha 90.00
_cell_angle_beta 90.00
_cell_angle_gamma 120.00
loop_
_atom_site_label
_atom_site_type_symbol
_atom_site_fract_x
_atom_site_fract_y
_atom_site_fract_z
_atom_site_occupancy
Be1 Be 0.3333 0.6667 0.2953 1
Tl1 Tl 0.0000 0.0000 0.5000 1
In1 In 0.3333 0.6667 0.8722 1
O1 O 0.0531 0.6632 0.2427 1
```

=====

An optimized crystal structure of UBeInO6. Source: Alexandria, functional PBE.

Calculated values
Formation energy (no corrections) ... -2.1091 eV/atom
Theoretical density ... 7178 kg/m³
Volume ... 211.85 Å³/cell
N(E_F) ... 0.65 states/eV per atom

CIF file:
```
data_UBeInO6
_symmetry_space_group_name_H-M 'P -3 1 c'
_symmetry_Int_Tables_number 163
_symmetry_space_group_name_Hall '-P 3 2c'
_cell_length_a 5.1134
_cell_length_b 5.1134
_cell_length_c 9.3557
_cell_angle_alpha 90.00
_cell_angle_beta 90.00
_cell_angle_gamma 120.00
loop_
_atom_site_label
_atom_site_type_symbol
_atom_site_fract_x
_atom_site_fract_y
_atom_site_fract_z
_atom_site_occupancy
U1 U 0.3333 0.6667 0.2500 1
Be1 Be 0.3333 0.6667 0.7500 1
In1 In 0.0000 0.0000 0.0000 1
O1 O 0.0280 0.3637 0.6372 1
```

=====

An optimized crystal structure of BeZn2InO4. Source: Alexandria, functional PBE.

Calculated values
Formation energy (no corrections) ... -1.5589 eV/atom
Theoretical density ... 5553 kg/m³
Volume ... 190.56 Å³/cell
N(E_F) ... 0.28 states/eV per atom

CIF file:
```
data_BeZn2InO4
_symmetry_space_group_name_H-M 'I -4 2 m'
_symmetry_Int_Tables_number 121
_symmetry_space_group_name_Hall 'I -4 2'
_cell_length_a 4.6634
_cell_length_b 4.6634
_cell_length_c 8.7627
_cell_angle_alpha 90.00
_cell_angle_beta 90.00
_cell_angle_gamma 90.00
loop_
_atom_site_label
_atom_site_type_symbol
_atom_site_fract_x
_atom_site_fract_y
_atom_site_fract_z
_atom_site_occupancy
Be1 Be 0.0000 0.0000 0.0000 1
Zn1 Zn 0.0000 0.5000 0.2500 1
In1 In 0.0000 0.0000 0.5000 1
O1 O 0.2033 0.2033 0.1173 1
```

=====

The following electronic total energy values (in eV/atom) correspond, in order, to the records above: -6.058 -5.991 -6.184 -5.997 -4.867 -5.563 -7.387 -5.165.